Entry 1:
Material: LaGa3Ru3
Method: DFT, PBE-GGA
State: optimized geometry

DFT total energy ... -256.749 eV for the cell shown
Energy above the most stable polymorph in this dataset ... 0 meV per atom

Geometry as CIF:
```
data_LaGa3Ru3
_chemical_formula_sum 'La6 Ga18 Ru18'
_cell_length_a 6.5910
_cell_length_b 6.5910
_cell_length_c 22.3855
_cell_angle_alpha 90.00
_cell_angle_beta 90.00
_cell_angle_gamma 120.00
_space_group_name_H-M_alt 'R -3'
_space_group_IT_number 148
_space_group_name_Hall '-R 3'
loop_
_atom_site_label
_atom_site_type_symbol
_atom_site_fract_x
_atom_site_fract_y
_atom_site_fract_z
La1 La 0.0000 0.0000 0.1838
Ga1 Ga 0.0385 0.4456 0.2549
Ru1 Ru 0.0229 0.2420 0.7009
```

---

Entry 2:
Material: LaSn3Te
Method: DFT, PBE-GGA
State: optimized geometry

DFT total energy ... -18.598 eV for the cell shown
ΔE_f (raw) ... 0.296 eV per atom
Energy above the most stable polymorph in this dataset ... 0 meV per atom

Geometry as CIF:
```
data_LaSn3Te
_chemical_formula_sum 'La1 Sn3 Te1'
_cell_length_a 5.729
_cell_length_b 5.729
_cell_length_c 5.729
_cell_angle_alpha 90.00
_cell_angle_beta 90.00
_cell_angle_gamma 90.00
_space_group_name_H-M_alt 'P m -3 m'
_space_group_IT_number 221
_space_group_name_Hall '-P 4 2 3'
loop_
_atom_site_label
_atom_site_type_symbol
_atom_site_fract_x
_atom_site_fract_y
_atom_site_fract_z
La1 La 0.000 0.000 0.000
Sn1 Sn 0.000 0.500 0.500
Te1 Te 0.500 0.500 0.500
```

---

Entry 3:
Material: SiRu2Br
Method: DFT, PBE-GGA
State: optimized geometry

DFT total energy ... -74.545 eV for the cell shown
ΔE_f (raw) ... 0.200 eV per atom
Energy above the most stable polymorph in this dataset ... 134 meV per atom

Geometry as CIF:
```
data_SiRu2Br
_chemical_formula_sum 'Si3 Ru6 Br3'
_cell_length_a 2.9661
_cell_length_b 2.9661
_cell_length_c 23.7620
_cell_angle_alpha 90.00
_cell_angle_beta 90.00
_cell_angle_gamma 120.00
_space_group_name_H-M_alt 'R -3 m'
_space_group_IT_number 166
_space_group_name_Hall '-R 3 2"'
loop_
_atom_site_label
_atom_site_type_symbol
_atom_site_fract_x
_atom_site_fract_y
_atom_site_fract_z
Si1 Si 0.0000 0.0000 0.0000
Ru1 Ru 0.0000 0.0000 0.2576
Br1 Br 0.0000 0.0000 0.5000
```

---

Entry 4:
Material: Rb2ErPuS4
Method: DFT, PBE-GGA
State: optimized geometry

DFT total energy ... -50.869 eV for the cell shown
ΔE_f (raw) ... -1.691 eV per atom

Geometry as CIF:
```
data_Rb2ErPuS4
_chemical_formula_sum 'Rb2 Er1 Pu1 S4'
_cell_length_a 7.116
_cell_length_b 4.101
_cell_length_c 8.016
_cell_angle_alpha 90.00
_cell_angle_beta 107.22
_cell_angle_gamma 90.00
_space_group_name_H-M_alt 'P 1 2/m 1'
_space_group_IT_number 10
_space_group_name_Hall '-P 2y'
loop_
_atom_site_label
_atom_site_type_symbol
_atom_site_fract_x
_atom_site_fract_y
_atom_site_fract_z
Rb1 Rb 0.000 0.000 0.000
Rb2 Rb 0.500 0.500 0.000
Er1 Er 0.000 0.500 0.500
Pu1 Pu 0.500 0.000 0.500
S1 S 0.225 0.000 0.691
S2 S 0.266 0.500 0.310
```

---

Entry 5:
Material: MnIn2Se
Method: DFT, PBE-GGA
State: optimized geometry

DFT total energy ... -34.791 eV for the cell shown
ΔE_f (raw) ... 0.184 eV per atom

Geometry as CIF:
```
data_MnIn2Se
_chemical_formula_sum 'Mn2 In4 Se2'
_cell_length_a 4.308
_cell_length_b 4.308
_cell_length_c 9.808
_cell_angle_alpha 90.00
_cell_angle_beta 90.00
_cell_angle_gamma 90.00
_space_group_name_H-M_alt 'I -4 m 2'
_space_group_IT_number 119
_space_group_name_Hall 'I -4 -2'
loop_
_atom_site_label
_atom_site_type_symbol
_atom_site_fract_x
_atom_site_fract_y
_atom_site_fract_z
Mn1 Mn 0.000 0.000 0.000
In1 In 0.000 0.000 0.500
In2 In 0.000 0.500 0.250
Se1 Se 0.000 0.500 0.750
```

---

Entry 6:
Material: NaY2Sc3Se6
Method: DFT, PBE-GGA
State: optimized geometry

DFT total energy ... -148.073 eV for the cell shown
ΔE_f (raw) ... -1.657 eV per atom

Geometry as CIF:
```
data_NaY2Sc3Se6
_chemical_formula_sum 'Na2 Y4 Sc6 Se12'
_cell_length_a 17.430
_cell_length_b 3.961
_cell_length_c 8.040
_cell_angle_alpha 90.00
_cell_angle_beta 103.94
_cell_angle_gamma 90.00
_space_group_name_H-M_alt 'C 1 2/m 1'
_space_group_IT_number 12
_space_group_name_Hall '-C 2y'
loop_
_atom_site_label
_atom_site_type_symbol
_atom_site_fract_x
_atom_site_fract_y
_atom_site_fract_z
Na1 Na 0.000 0.000 0.000
Y1 Y 0.168 0.500 0.338
Sc1 Sc 0.000 0.000 0.500
Sc2 Sc 0.165 0.500 0.822
Se1 Se 0.003 0.500 0.740
Se2 Se 0.162 0.000 0.590
Se3 Se 0.171 0.000 0.073
```

---

Entry 7:
Material: Mg3Tl2F8
Method: DFT, PBE-GGA
State: optimized geometry

DFT total energy ... -126.686 eV for the cell shown
ΔE_f (raw) ... -2.989 eV per atom

Geometry as CIF:
```
data_Mg3Tl2F8
_chemical_formula_sum 'Mg6 Tl4 F16'
_cell_length_a 13.638
_cell_length_b 6.274
_cell_length_c 5.373
_cell_angle_alpha 90.00
_cell_angle_beta 109.16
_cell_angle_gamma 90.00
_space_group_name_H-M_alt 'C 1 2/m 1'
_space_group_IT_number 12
_space_group_name_Hall '-C 2y'
loop_
_atom_site_label
_atom_site_type_symbol
_atom_site_fract_x
_atom_site_fract_y
_atom_site_fract_z
Mg1 Mg 0.000 0.000 0.000
Mg2 Mg 0.000 0.256 0.500
Tl1 Tl 0.209 0.500 0.170
F1 F 0.079 0.000 0.398
F2 F 0.081 0.223 0.884
F3 F 0.090 0.500 0.462
```

---

Entry 8:
Material: BaNi2Sb
Method: DFT, PBE-GGA
State: optimized geometry

DFT total energy ... -62.946 eV for the cell shown
ΔE_f (raw) ... 0.468 eV per atom

Geometry as CIF:
```
data_BaNi2Sb
_chemical_formula_sum 'Ba4 Ni8 Sb4'
_cell_length_a 7.145
_cell_length_b 7.145
_cell_length_c 7.145
_cell_angle_alpha 90.00
_cell_angle_beta 90.00
_cell_angle_gamma 90.00
_space_group_name_H-M_alt 'F -4 3 m'
_space_group_IT_number 216
_space_group_name_Hall 'F -4 2 3'
loop_
_atom_site_label
_atom_site_type_symbol
_atom_site_fract_x
_atom_site_fract_y
_atom_site_fract_z
Ba1 Ba 0.000 0.000 0.000
Ni1 Ni 0.000 0.000 0.500
Ni2 Ni 0.250 0.250 0.250
Sb1 Sb 0.250 0.250 0.750
```

---

Copy entry 7 word for word.
Material: Mg3Tl2F8
Method: DFT, PBE-GGA
State: optimized geometry

DFT total energy ... -126.686 eV for the cell shown
ΔE_f (raw) ... -2.989 eV per atom

Geometry as CIF:
```
data_Mg3Tl2F8
_chemical_formula_sum 'Mg6 Tl4 F16'
_cell_length_a 13.638
_cell_length_b 6.274
_cell_length_c 5.373
_cell_angle_alpha 90.00
_cell_angle_beta 109.16
_cell_angle_gamma 90.00
_space_group_name_H-M_alt 'C 1 2/m 1'
_space_group_IT_number 12
_space_group_name_Hall '-C 2y'
loop_
_atom_site_label
_atom_site_type_symbol
_atom_site_fract_x
_atom_site_fract_y
_atom_site_fract_z
Mg1 Mg 0.000 0.000 0.000
Mg2 Mg 0.000 0.256 0.500
Tl1 Tl 0.209 0.500 0.170
F1 F 0.079 0.000 0.398
F2 F 0.081 0.223 0.884
F3 F 0.090 0.500 0.462
```

---

Which value of DFT total energy does entry 6 give?
-148.073 eV for the cell shown

---

What did the seventh record say?
Material: Mg3Tl2F8
Method: DFT, PBE-GGA
State: optimized geometry

DFT total energy ... -126.686 eV for the cell shown
ΔE_f (raw) ... -2.989 eV per atom

Geometry as CIF:
```
data_Mg3Tl2F8
_chemical_formula_sum 'Mg6 Tl4 F16'
_cell_length_a 13.638
_cell_length_b 6.274
_cell_length_c 5.373
_cell_angle_alpha 90.00
_cell_angle_beta 109.16
_cell_angle_gamma 90.00
_space_group_name_H-M_alt 'C 1 2/m 1'
_space_group_IT_number 12
_space_group_name_Hall '-C 2y'
loop_
_atom_site_label
_atom_site_type_symbol
_atom_site_fract_x
_atom_site_fract_y
_atom_site_fract_z
Mg1 Mg 0.000 0.000 0.000
Mg2 Mg 0.000 0.256 0.500
Tl1 Tl 0.209 0.500 0.170
F1 F 0.079 0.000 0.398
F2 F 0.081 0.223 0.884
F3 F 0.090 0.500 0.462
```